(1)
A plane-wave DFT calculation with PBE was carried out for a geometry-optimized TbPrDy5Ho2 structure.

abc: 5.613 19.860 10.541
angles: 90.00 90.00 90.00
Space group Cmc2_1 (No. 36)
One atom of each set of equivalent atoms:
Tb (0.000, 0.200, 0.000) (multiplicity 4)
Pr (0.000, 0.416, 0.438) (multiplicity 4)
Dy (0.000, 0.017, 0.012) (multiplicity 4)
Dy (0.000, 0.281, 0.300) (multiplicity 4)
Dy (0.000, 0.298, 0.697) (multiplicity 4)
Dy (0.000, 0.388, 0.011) (multiplicity 4)
Dy (0.000, 0.478, 0.724) (multiplicity 4)
Ho (0.000, 0.111, 0.722) (multiplicity 4)
Ho (0.000, 0.114, 0.307) (multiplicity 4)

Summary:
The raw total energy is -4.4587 eV per atom. Its formation enthalpy at 0 K is 0.16 eV/atom. As for the total magnetization: 0.00 Bohr magnetons per cell. The value obtained for the calculated density is 8.152 Mg/m³.

---

(2)
A plane-wave DFT calculation with PBE was carried out for a geometry-optimized TbPrDy2Ho4 structure.

abc: 6.793 11.760 13.250
angles: 90.00 90.00 90.00
Space group Imma (No. 74)
One atom of each set of equivalent atoms:
Tb (0.000, 0.000, 0.000) (multiplicity 4)
Pr (0.250, 0.250, 0.250) (multiplicity 4)
Dy (0.000, 0.000, 0.500) (multiplicity 4)
Dy (0.250, 0.250, 0.750) (multiplicity 4)
Ho (0.000, 0.003, 0.750) (multiplicity 8)
Ho (0.250, 0.250, 0.503) (multiplicity 8)

Summary:
The raw total energy is -4.1816 eV per atom. Its formation enthalpy at 0 K is 0.43 eV/atom. As for the total magnetization: 12.18 Bohr magnetons per cell. The value obtained for the calculated density is 8.061 Mg/m³.

---

(3)
A plane-wave DFT calculation with PBE was carried out for a geometry-optimized Tb3Pr6Dy2Ho structure.

abc: 6.313 10.934 11.908
angles: 90.00 100.15 90.00
Space group C2/m (No. 12)
One atom of each set of equivalent atoms:
Tb (0.000, 0.000, 0.000) (multiplicity 2)
Tb (0.000, 0.333, 0.000) (multiplicity 4)
Pr (0.250, 0.000, 0.749) (multiplicity 4)
Pr (0.250, 0.167, 0.251) (multiplicity 8)
Dy (0.000, 0.167, 0.500) (multiplicity 4)
Ho (0.000, 0.500, 0.500) (multiplicity 2)

Summary:
The raw total energy is -4.6851 eV per atom. Its formation enthalpy at 0 K is 0.01 eV/atom. As for the total magnetization: 0.00 Bohr magnetons per cell. The value obtained for the calculated density is 7.438 Mg/m³.

---

(4)
A plane-wave DFT calculation with PBE was carried out for a geometry-optimized Tb6Pr2DyHo structure.

abc: 9.052 15.117 9.768
angles: 90.00 99.12 90.00
Space group C2/c (No. 15)
One atom of each set of equivalent atoms:
Tb (0.066, 0.190, 0.443) (multiplicity 8)
Tb (0.102, 0.395, 0.620) (multiplicity 8)
Tb (0.201, 0.222, 0.812) (multiplicity 8)
Pr (0.245, 0.052, 0.042) (multiplicity 8)
Dy (0.000, 0.017, 0.750) (multiplicity 4)
Ho (0.000, 0.407, 0.250) (multiplicity 4)

Summary:
The raw total energy is -4.5352 eV per atom. Its formation enthalpy at 0 K is 0.12 eV/atom. As for the total magnetization: 0.00 Bohr magnetons per cell. The value obtained for the calculated density is 7.865 Mg/m³.

---

Which value of total magnetization does entry 3 give? 0.00 Bohr magnetons per cell